A relaxed structure of ScRu2Br, computed with GGA-PBE.

Raw total energy   -25.7 eV per cell
Excess energy over the best structure of this formula in the dataset   287.3 meV per atom
DOS(E_F)   4.3 states/eV/f.u.
Volume   16.6 A^3/atom
Space-group type   C2/m (12)
Energy relative to the elements, uncorrected   4.8 kcal/mol of atoms

Cell: 4.754 5.330 3.073 Å, 74.85 86.54 115.38°
Positions (direct):
Br (0.500, 0.500, 0.000)
Ru (0.000, 0.000, 0.000)
Ru (0.500, 0.000, 0.500)
Sc (0.000, 0.500, 0.500)